The following is a PBE calculation of an optimized crystal structure of YMnAs3, from Alexandria via LeMat-Bulk.

abc: 4.7539 4.7539 4.7539
angles: 90.00 90.00 90.00
Last column: nearest neighbours and their distance in Å.
Space group Pm-3m (No. 221)
Unique sites:
Y (0.0000, 0.0000, 0.0000) x1  12 As 3.36
Mn (0.5000, 0.5000, 0.5000) x1  6 As 2.38
As (0.0000, 0.5000, 0.5000) x3  2 Mn 2.38

Results
- DFT total energy: -6.12 eV/atom
- Formation energy from the elements: -207 meV per atom
- ρ: 5.70 g/cm3
- Crystal system: cubic
- E above lowest polymorph: 0.000 eV/atom